# ZnGaSe GGA-PBE optimized geometry
# DOS(E_F) = 0.56 states/eV/f.u.
# uncorrected formation energy = -0.2366 eV/atom
# energy relative to the lowest polymorph listed for this composition = 92.7 meV/atom
data_ZnGaSe
_symmetry_space_group_name_H-M 'P -1'
_symmetry_Int_Tables_number 2
_symmetry_space_group_name_Hall '-P 1'
_cell_length_a 3.846
_cell_length_b 5.767
_cell_length_c 6.215
_cell_angle_alpha 95.59
_cell_angle_beta 102.32
_cell_angle_gamma 101.62
loop_
_atom_site_label
_atom_site_type_symbol
_atom_site_fract_x
_atom_site_fract_y
_atom_site_fract_z
Zn1 Zn 0.127 0.311 0.278
Ga1 Ga 0.253 0.896 0.126
Se1 Se 0.265 0.352 0.698